Compound: SrBeAg3
Source: the Alexandria database
Functional: GGA-PBE
Structure: optimized geometry

```
SrBeAg3
1.0
4.734 0.000 0.000
0.000 4.734 0.000
0.000 0.000 4.734
Ag Sr Be
3 1 1
direct
0.000 0.000 0.500
0.500 0.000 0.000
0.000 0.500 0.000
0.500 0.500 0.500
0.000 0.000 0.000
```

Summary:
Formation energy from the elements ... -0.044 eV per atom
Crystal system ... cubic
Calculated volume ... 21.22 Å³ per atom
Magnetization ... 0.000 μB per cell
SG ... Pm-3m, No. 221
Total DFT energy (no corrections) ... -2.837 eV/atom


Compound: ScTePb2
Source: the Alexandria database
Functional: GGA-PBE
Structure: optimized geometry

```
ScTePb2
1.0
-3.548 -1.818 4.861
0.281 -6.020 1.788
4.045 4.634 -1.296
Sc Pb Te
1 2 1
direct
0.500 0.500 0.000
0.000 0.000 0.000
0.250 0.750 0.500
0.750 0.250 0.500
```

Summary:
Crystal system ... tetragonal
Calculated volume ... 28.15 Å³ per atom
Magnetization ... 0.000 μB per cell
Energy relative to the elements, uncorrected ... -0.19 eV/atom
SG ... I-4m2, No. 119
Total DFT energy (no corrections) ... -4.411 eV/atom


Compound: AcLaDy6
Source: the Alexandria database
Functional: GGA-PBE
Structure: optimized geometry

```
AcLaDy6
1.0
5.859 -0.027 1.463
1.777 5.584 1.463
-0.562 -0.409 8.911
Dy La Ac
6 1 1
direct
0.955 0.476 0.703
0.476 0.955 0.703
0.622 0.622 0.081
0.045 0.524 0.297
0.524 0.045 0.297
0.378 0.378 0.919
0.500 0.500 0.500
0.000 0.000 0.000
```

Summary:
Formation energy from the elements ... 0.398 eV per atom
Crystal system ... monoclinic
Calculated volume ... 37.38 Å³ per atom
Magnetization ... 0.001 μB per cell
SG ... C2/m, No. 12
Total DFT energy (no corrections) ... -4.183 eV/atom


Compound: HRu2Pb
Source: the Alexandria database
Functional: GGA-PBE
Structure: optimized geometry

```
HRu2Pb
1.0
5.465 0.000 0.000
0.000 5.465 0.000
2.732 2.732 3.926
Pb Ru H
2 4 2
direct
0.000 0.000 0.000
0.750 0.250 0.500
0.875 0.711 0.750
0.289 0.625 0.250
0.461 0.125 0.250
0.375 0.539 0.750
0.500 0.500 0.000
0.250 0.750 0.500
```

Summary:
Crystal system ... tetragonal
Calculated volume ... 14.65 Å³ per atom
Magnetization ... 0.000 μB per cell
SG ... I-42d, No. 122
Total DFT energy (no corrections) ... -5.917 eV/atom


Compound: SrNiBiPb2
Source: the Alexandria database
Functional: GGA-PBE
Structure: optimized geometry

```
SrNiBiPb2
1.0
5.147 0.000 0.000
0.000 5.147 0.000
0.000 0.000 5.610
Pb Bi Sr Ni
2 1 1 1
direct
0.500 0.000 0.000
0.000 0.500 0.000
0.500 0.500 0.500
0.000 0.000 0.500
0.000 0.000 0.000
```

Summary:
Formation energy from the elements ... -0.176 eV per atom
Crystal system ... tetragonal
Calculated volume ... 29.73 Å³ per atom
Magnetization ... 0.000 μB per cell
SG ... P4/mmm, No. 123
Total DFT energy (no corrections) ... -3.928 eV/atom


Compound: AcLa3Ni
Source: the Alexandria database
Functional: GGA-PBE
Structure: optimized geometry

```
AcLa3Ni
1.0
3.914 0.000 0.000
-1.957 7.003 -0.448
0.000 0.306 12.216
Ac La Ni
2 6 2
direct
0.831 0.663 0.904
0.169 0.337 0.096
0.213 0.426 0.636
0.437 0.873 0.154
0.563 0.127 0.846
0.943 0.886 0.627
0.787 0.574 0.364
0.057 0.114 0.373
0.416 0.832 0.446
0.584 0.168 0.554
```

Summary:
Formation energy from the elements ... -0.122 eV per atom
Crystal system ... monoclinic
Calculated volume ... 33.54 Å³ per atom
Magnetization ... 0.000 μB per cell
SG ... C2/m, No. 12
Total DFT energy (no corrections) ... -5.056 eV/atom


Compound: HfVB3
Source: the Alexandria database
Functional: GGA-PBE
Structure: optimized geometry

```
HfVB3
1.0
3.085 0.000 0.000
0.000 3.223 0.000
0.000 -1.611 9.970
B Hf V
6 2 2
direct
0.250 0.392 0.784
0.750 0.521 0.042
0.250 0.650 0.299
0.750 0.350 0.701
0.750 0.608 0.216
0.250 0.479 0.958
0.250 0.801 0.603
0.750 0.199 0.397
0.750 0.937 0.874
0.250 0.063 0.126
```

Summary:
Formation energy from the elements ... -0.699 eV per atom
Crystal system ... orthorhombic
Calculated volume ... 9.91 Å³ per atom
Magnetization ... 0.000 μB per cell
SG ... Cmcm, No. 63
Total DFT energy (no corrections) ... -8.520 eV/atom


Compound: Ta2TlTe
Source: the Alexandria database
Functional: GGA-PBE
Structure: optimized geometry

```
Ta2TlTe
1.0
3.320 0.000 0.000
0.000 3.320 0.000
0.000 0.000 7.355
Ta Te Tl
2 1 1
direct
0.000 0.000 0.487
0.000 0.000 0.013
0.500 0.500 0.250
0.500 0.500 0.750
```

Summary:
Crystal system ... tetragonal
Calculated volume ... 20.27 Å³ per atom
Magnetization ... 0.000 μB per cell
Energy relative to the elements, uncorrected ... 0.47 eV/atom
SG ... P4/mmm, No. 123
Total DFT energy (no corrections) ... -6.831 eV/atom


Let's list theoretical density in order: 6.58; 8.66; 7.45; 11.62; 8.60; 6.96; 8.77; 14.21 Mg/m³.